# 1
{
  "formula": "MgNiSb2",
  "functional": "PBE-GGA",
  "state": "optimized geometry",
  "lattice": [[5.085, -0.032, 0.000], [0.944, 4.997, 0.000], [-3.015, -2.483, 3.257]],
  "species": ["Ni", "Sb", "Sb", "Mg"],
  "fractional_positions": [[0.750, 0.250, 0.500], [0.000, 0.000, 0.000], [0.500, 0.500, 0.000], [0.250, 0.750, 0.500]],
  "formation_energy_uncorrected_mev_per_atom": 112,
  "crystal_system": "tetragonal",
  "space_group": "I4/mmm, No. 139"
}


# 2
{
  "formula": "Ag2Hg2Te3O12",
  "functional": "PBE-GGA",
  "state": "optimized geometry",
  "lattice": [[6.301, 0.000, 0.000], [0.000, 6.584, 0.056], [0.000, 5.757, 13.499]],
  "species": ["O", "O", "O", "O", "O", "O", "O", "O", "O", "O", "O", "O", "O", "O", "O", "O", "O", "O", "O", "O", "O", "O", "O", "O", "Ag", "Ag", "Ag", "Ag", "Te", "Te", "Te", "Te", "Te", "Te", "Hg", "Hg", "Hg", "Hg"],
  "fractional_positions": [[0.387, 0.607, 0.352], [0.719, 0.004, 0.442], [0.030, 0.258, 0.731], [0.686, 0.550, 0.962], [0.887, 0.393, 0.148], [0.367, 0.885, 0.906], [0.065, 0.294, 0.392], [0.219, 0.996, 0.058], [0.530, 0.742, 0.769], [0.435, 0.294, 0.892], [0.470, 0.258, 0.231], [0.867, 0.115, 0.594], [0.314, 0.450, 0.038], [0.281, 0.996, 0.558], [0.814, 0.550, 0.462], [0.186, 0.450, 0.538], [0.113, 0.607, 0.852], [0.133, 0.885, 0.406], [0.970, 0.742, 0.269], [0.565, 0.706, 0.108], [0.633, 0.115, 0.094], [0.935, 0.706, 0.608], [0.613, 0.393, 0.648], [0.781, 0.004, 0.942], [0.857, 0.899, 0.792], [0.143, 0.101, 0.208], [0.643, 0.899, 0.292], [0.357, 0.101, 0.708], [0.000, 0.000, 0.500], [0.500, 0.000, 0.000], [0.403, 0.594, 0.895], [0.903, 0.406, 0.605], [0.597, 0.406, 0.105], [0.097, 0.594, 0.395], [0.457, 0.701, 0.602], [0.043, 0.701, 0.102], [0.543, 0.299, 0.398], [0.957, 0.299, 0.898]],
  "formation_energy_uncorrected_mev_per_atom": -662,
  "crystal_system": "monoclinic",
  "space_group": "P2_1/c, No. 14"
}


# 3
{
  "formula": "SrTcGe3",
  "functional": "PBE-GGA",
  "state": "optimized geometry",
  "lattice": [[4.897, 0.000, 0.000], [0.000, 4.897, 0.000], [0.000, 0.000, 4.897]],
  "species": ["Ge", "Ge", "Ge", "Tc", "Sr"],
  "fractional_positions": [[0.000, 0.000, 0.500], [0.000, 0.500, 0.000], [0.500, 0.000, 0.000], [0.000, 0.000, 0.000], [0.500, 0.500, 0.500]],
  "crystal_system": "cubic",
  "space_group": "Pm-3m, No. 221",
  "formation_energy_ev_per_atom": -0.07
}


# 4
{
  "formula": "Sm2DyTi",
  "functional": "PBE-GGA",
  "state": "optimized geometry",
  "lattice": [[-2.304, -2.375, -0.710], [0.769, -2.524, -2.119], [3.358, -8.118, 8.189]],
  "species": ["Sm", "Sm", "Ti", "Dy"],
  "fractional_positions": [[0.917, 0.917, 0.250], [0.083, 0.083, 0.750], [0.000, 0.000, 0.000], [0.500, 0.500, 0.500]],
  "crystal_system": "trigonal",
  "space_group": "R-3m, No. 166",
  "formation_energy_ev_per_atom": 0.44
}


Q: What is the formula in the second record?
A: Ag2Hg2Te3O12


Q: Number 4 is which compound?
A: Sm2DyTi